Entry 1:
## Nd5GaSn2 (GGA-PBE)

Data for a relaxed structure of Nd5GaSn2.

```
data_Nd5GaSn2
_space_group_name_H-M_alt 'I 4/m m m'
_space_group_IT_number 139
_space_group_name_Hall '-I 4 2'
_cell_length_a 7.031
_cell_length_b 7.031
_cell_length_c 9.345
_cell_angle_alpha 90.00
_cell_angle_beta 90.00
_cell_angle_gamma 90.00
loop_
_atom_site_label
_atom_site_type_symbol
_atom_site_fract_x
_atom_site_fract_y
_atom_site_fract_z
Nd1 Nd 0.000 0.000 0.000
Nd2 Nd 0.250 0.250 0.250
Ga1 Ga 0.000 0.000 0.500
Sn1 Sn 0.000 0.500 0.000
```

Results
For the density, the calculation gives 7.4 g cm⁻³. The distance to the lowest polymorph of the same formula comes out at 0.1291 eV/atom. The total magnetic moment is 0.00 μB per formula unit.

---

Entry 2:
## NdGaSn2 (GGA-PBE)

Data for a relaxed structure of NdGaSn2.

```
data_NdGaSn2
_space_group_name_H-M_alt 'P 4/m m m'
_space_group_IT_number 123
_space_group_name_Hall '-P 4 2'
_cell_length_a 4.584
_cell_length_b 4.584
_cell_length_c 4.812
_cell_angle_alpha 90.00
_cell_angle_beta 90.00
_cell_angle_gamma 90.00
loop_
_atom_site_label
_atom_site_type_symbol
_atom_site_fract_x
_atom_site_fract_y
_atom_site_fract_z
Nd1 Nd 0.000 0.000 0.000
Ga1 Ga 0.500 0.500 0.000
Sn1 Sn 0.000 0.500 0.500
```

Results
For the density, the calculation gives 7.4 g cm⁻³. The distance to the lowest polymorph of the same formula comes out at 0.0000 eV/atom. The total magnetic moment is 0.00 μB per formula unit.

---

Entry 3:
## Nd3Ga4Sn2 (GGA-PBE)

Data for a relaxed structure of Nd3Ga4Sn2.

```
data_Nd3Ga4Sn2
_space_group_name_H-M_alt 'C 1 2/m 1'
_space_group_IT_number 12
_cell_length_a 11.682
_cell_length_b 4.407
_cell_length_c 8.815
_cell_angle_alpha 90.00
_cell_angle_beta 100.83
_cell_angle_gamma 90.00
loop_
_space_group_symop_operation_xyz
'x,y,z'
'-x,-y,-z'
'-x,y,-z'
'x,-y,z'
'x+1/2,y+1/2,z'
'-x+1/2,-y+1/2,-z'
'-x+1/2,y+1/2,-z'
'x+1/2,-y+1/2,z'
loop_
_atom_site_label
_atom_site_type_symbol
_atom_site_fract_x
_atom_site_fract_y
_atom_site_fract_z
Nd1 Nd 0.000 0.000 0.000
Nd2 Nd 0.164 0.500 0.671
Ga1 Ga 0.018 0.000 0.363
Ga2 Ga 0.202 0.500 0.022
Sn1 Sn 0.130 0.500 0.295
```

Results
For the density, the calculation gives 7.1 g cm⁻³. For the energy, the calculation gives -4.480 eV per atom. The total magnetic moment is 0.00 μB per formula unit.

---

Entry 4:
## Nd8GaSn2 (GGA-PBE)

Data for a relaxed structure of Nd8GaSn2.

```
data_Nd8GaSn2
_space_group_name_H-M_alt 'C 1 2/m 1'
_space_group_IT_number 12
_cell_length_a 19.664
_cell_length_b 5.254
_cell_length_c 6.950
_cell_angle_alpha 90.00
_cell_angle_beta 105.36
_cell_angle_gamma 90.00
loop_
_space_group_symop_operation_xyz
'x,y,z'
'-x,-y,-z'
'-x,y,-z'
'x,-y,z'
'x+1/2,y+1/2,z'
'-x+1/2,-y+1/2,-z'
'-x+1/2,y+1/2,-z'
'x+1/2,-y+1/2,z'
loop_
_atom_site_label
_atom_site_type_symbol
_atom_site_fract_x
_atom_site_fract_y
_atom_site_fract_z
Nd1 Nd 0.013 0.000 0.275
Nd2 Nd 0.091 0.500 0.972
Nd3 Nd 0.155 0.500 0.496
Nd4 Nd 0.215 0.000 0.817
Ga1 Ga 0.000 0.500 0.500
Sn1 Sn 0.177 0.000 0.249
```

Results
For the density, the calculation gives 7.0 g cm⁻³. For the energy, the calculation gives -4.849 eV per atom. The total magnetic moment is 0.00 μB per formula unit.

---

Entry 5:
## Nd2Ga3Sn2 (GGA-PBE)

Data for a relaxed structure of Nd2Ga3Sn2.

```
data_Nd2Ga3Sn2
_space_group_name_H-M_alt 'I 21 3'
_space_group_IT_number 199
_space_group_name_Hall 'I 2b 2c 3'
_cell_length_a 8.938
_cell_length_b 8.938
_cell_length_c 8.938
_cell_angle_alpha 90.00
_cell_angle_beta 90.00
_cell_angle_gamma 90.00
loop_
_atom_site_label
_atom_site_type_symbol
_atom_site_fract_x
_atom_site_fract_y
_atom_site_fract_z
Nd1 Nd 0.248 0.248 0.248
Ga1 Ga 0.000 0.250 0.011
Sn1 Sn 0.054 0.446 0.554
```

Results
For the density, the calculation gives 6.8 g cm⁻³. For the energy, the calculation gives -4.175 eV per atom. The total magnetic moment is 0.00 μB per formula unit.

---

Entry 6:
## Nd5Ga2Sn2 (GGA-PBE)

Data for a relaxed structure of Nd5Ga2Sn2.

```
data_Nd5Ga2Sn2
_space_group_name_H-M_alt 'C m c e'
_space_group_IT_number 64
_space_group_name_Hall '-C 2ac 2'
_cell_length_a 16.020
_cell_length_b 8.240
_cell_length_c 8.132
_cell_angle_alpha 90.00
_cell_angle_beta 90.00
_cell_angle_gamma 90.00
loop_
_atom_site_label
_atom_site_type_symbol
_atom_site_fract_x
_atom_site_fract_y
_atom_site_fract_z
Nd1 Nd 0.000 0.000 0.000
Nd2 Nd 0.136 0.180 0.325
Ga1 Ga 0.000 0.115 0.616
Sn1 Sn 0.210 0.000 0.000
```

Results
For the density, the calculation gives 6.8 g cm⁻³. For the energy, the calculation gives -4.818 eV per atom. The total magnetic moment is 0.00 μB per formula unit.

---

Entry 7:
## Nd4GaSn3 (GGA-PBE)

Data for a relaxed structure of Nd4GaSn3.

```
data_Nd4GaSn3
_space_group_name_H-M_alt 'P m m 2'
_space_group_IT_number 25
_cell_length_a 4.337
_cell_length_b 4.658
_cell_length_c 11.656
_cell_angle_alpha 90.00
_cell_angle_beta 90.00
_cell_angle_gamma 90.00
loop_
_space_group_symop_operation_xyz
'x,y,z'
'-x,-y,z'
'-x,y,z'
'x,-y,z'
loop_
_atom_site_label
_atom_site_type_symbol
_atom_site_fract_x
_atom_site_fract_y
_atom_site_fract_z
Nd1 Nd 0.000 0.000 0.000
Nd2 Nd 0.000 0.500 0.489
Nd3 Nd 0.500 0.000 0.717
Nd4 Nd 0.500 0.500 0.221
Ga1 Ga 0.000 0.000 0.272
Sn1 Sn 0.000 0.500 0.767
Sn2 Sn 0.500 0.000 0.432
Sn3 Sn 0.500 0.500 0.944
```

Results
For the density, the calculation gives 7.1 g cm⁻³. For the energy, the calculation gives -5.007 eV per atom. The total magnetic moment is 0.00 μB per formula unit.

---

Entry 8:
## Nd4Ga2Sn (GGA-PBE)

Data for a relaxed structure of Nd4Ga2Sn.

```
data_Nd4Ga2Sn
_space_group_name_H-M_alt 'R -3 m'
_space_group_IT_number 166
_space_group_name_Hall '-R 3 2"'
_cell_length_a 5.2517
_cell_length_b 5.2517
_cell_length_c 25.6151
_cell_angle_alpha 90.00
_cell_angle_beta 90.00
_cell_angle_gamma 120.00
loop_
_atom_site_label
_atom_site_type_symbol
_atom_site_fract_x
_atom_site_fract_y
_atom_site_fract_z
Nd1 Nd 0.0000 0.0000 0.1177
Nd2 Nd 0.0000 0.0000 0.3707
Ga1 Ga 0.0000 0.0000 0.2530
Sn1 Sn 0.0000 0.0000 0.5000
```

Results
For the density, the calculation gives 6.8 g cm⁻³. The distance to the lowest polymorph of the same formula comes out at 0.0000 eV/atom. The total magnetic moment is 0.00 μB per formula unit.

---

Entry 9:
## Nd2GaSn2 (GGA-PBE)

Data for a relaxed structure of Nd2GaSn2.

```
data_Nd2GaSn2
_space_group_name_H-M_alt 'C m c 21'
_space_group_IT_number 36
_cell_length_a 4.570
_cell_length_b 18.084
_cell_length_c 6.947
_cell_angle_alpha 90.00
_cell_angle_beta 90.00
_cell_angle_gamma 90.00
loop_
_space_group_symop_operation_xyz
'x,y,z'
'-x,-y,z+1/2'
'-x,y,z'
'x,-y,z+1/2'
'x+1/2,y+1/2,z'
'-x+1/2,-y+1/2,z+1/2'
'-x+1/2,y+1/2,z'
'x+1/2,-y+1/2,z+1/2'
loop_
_atom_site_label
_atom_site_type_symbol
_atom_site_fract_x
_atom_site_fract_y
_atom_site_fract_z
Nd1 Nd 0.000 0.010 0.000
Nd2 Nd 0.000 0.208 0.302
Ga1 Ga 0.000 0.407 0.172
Sn1 Sn 0.000 0.169 0.781
Sn2 Sn 0.000 0.412 0.767
```

Results
For the density, the calculation gives 6.9 g cm⁻³. The distance to the lowest polymorph of the same formula comes out at 0.1088 eV/atom. The total magnetic moment is 0.00 μB per formula unit.

---

Entry 10:
## Nd5GaSn2 (GGA-PBE)

Data for a relaxed structure of Nd5GaSn2.

```
data_Nd5GaSn2
_space_group_name_H-M_alt 'P b a m'
_space_group_IT_number 55
_cell_length_a 8.173
_cell_length_b 12.622
_cell_length_c 4.819
_cell_angle_alpha 90.00
_cell_angle_beta 90.00
_cell_angle_gamma 90.00
loop_
_space_group_symop_operation_xyz
'x,y,z'
'-x,-y,-z'
'-x,-y,z'
'x,y,-z'
'x+1/2,-y+1/2,-z'
'-x+1/2,y+1/2,z'
'-x+1/2,y+1/2,-z'
'x+1/2,-y+1/2,z'
loop_
_atom_site_label
_atom_site_type_symbol
_atom_site_fract_x
_atom_site_fract_y
_atom_site_fract_z
Nd1 Nd 0.000 0.000 0.000
Nd2 Nd 0.155 0.283 0.000
Nd3 Nd 0.193 0.568 0.500
Ga1 Ga 0.000 0.500 0.000
Sn1 Sn 0.076 0.829 0.500
```

Results
For the density, the calculation gives 6.9 g cm⁻³. The distance to the lowest polymorph of the same formula comes out at 0.0000 eV/atom. The total magnetic moment is 0.00 μB per formula unit.

---

Please write out number 8 again, unchanged.
## Nd4Ga2Sn (GGA-PBE)

Data for a relaxed structure of Nd4Ga2Sn.

```
data_Nd4Ga2Sn
_space_group_name_H-M_alt 'R -3 m'
_space_group_IT_number 166
_space_group_name_Hall '-R 3 2"'
_cell_length_a 5.2517
_cell_length_b 5.2517
_cell_length_c 25.6151
_cell_angle_alpha 90.00
_cell_angle_beta 90.00
_cell_angle_gamma 120.00
loop_
_atom_site_label
_atom_site_type_symbol
_atom_site_fract_x
_atom_site_fract_y
_atom_site_fract_z
Nd1 Nd 0.0000 0.0000 0.1177
Nd2 Nd 0.0000 0.0000 0.3707
Ga1 Ga 0.0000 0.0000 0.2530
Sn1 Sn 0.0000 0.0000 0.5000
```

Results
For the density, the calculation gives 6.8 g cm⁻³. The distance to the lowest polymorph of the same formula comes out at 0.0000 eV/atom. The total magnetic moment is 0.00 μB per formula unit.